# MgTa4Ni | the Alexandria database | PBE | optimized geometry
data_MgTa4Ni
_symmetry_space_group_name_H-M 'P 1'
_symmetry_Int_Tables_number 1
_cell_length_a 5.435
_cell_length_b 5.435
_cell_length_c 5.435
_cell_angle_alpha 60.00
_cell_angle_beta 60.00
_cell_angle_gamma 60.00
loop_
_symmetry_equiv_pos_as_xyz
'x,y,z'
loop_
_atom_site_label
_atom_site_type_symbol
_atom_site_fract_x
_atom_site_fract_y
_atom_site_fract_z
Ta1 Ta 0.872 0.376 0.376
Ta2 Ta 0.376 0.872 0.376
Ta3 Ta 0.376 0.376 0.872
Ta4 Ta 0.376 0.376 0.376
Ni1 Ni 0.000 0.000 0.000
Mg1 Mg 0.750 0.750 0.750
# Space group: F-43m, No. 216
# Calculated formation energy, eV/atom: 0.537
# Crystal system: cubic


# DyFe2Ge2 | the Alexandria database | PBE | optimized geometry
data_DyFe2Ge2
_symmetry_space_group_name_H-M 'P 1'
_symmetry_Int_Tables_number 1
_cell_length_a 5.805
_cell_length_b 5.805
_cell_length_c 5.805
_cell_angle_alpha 139.96
_cell_angle_beta 139.96
_cell_angle_gamma 57.91
loop_
_symmetry_equiv_pos_as_xyz
'x,y,z'
loop_
_atom_site_label
_atom_site_type_symbol
_atom_site_fract_x
_atom_site_fract_y
_atom_site_fract_z
Dy1 Dy 0.000 0.000 0.000
Ge1 Ge 0.628 0.628 0.000
Ge2 Ge 0.372 0.372 0.000
Fe1 Fe 0.250 0.750 0.500
Fe2 Fe 0.750 0.250 0.500
# Space group: I4/mmm, No. 139
# Calculated formation energy, eV/atom: -0.459
# Crystal system: tetragonal


| no. | energy (eV per atom) |
| --- | --- |
| 1 | -8.594 |
| 2 | -6.611 |